Entry 1:
AcYInAg | the Alexandria database | PBE | relaxed; total magnetization = 0.000 μB per atom; theoretical density = 7716 kg/m3; relative energy among the computed polymorphs = 0 meV per atom; space group = P4mm
1.0
-1.377 2.042 -2.885
-3.325 -1.799 0.313
-2.547 5.610 5.187
Ac Y In Ag
1 1 1 1
Cartesian
-2.642 0.762 -0.694
-3.858 3.441 1.783
-2.107 4.640 4.291
-1.006 2.216 2.049


Entry 2:
PrEr2Au | the Alexandria database | PBE | relaxed; total magnetization = 0.000 μB per atom; theoretical density = 9276 kg/m3; relative energy among the computed polymorphs = 122 meV per atom; space group = R-3m
1.0
-2.587 1.803 2.014
-3.082 -1.798 1.127
2.739 -2.693 9.406
Pr Au Er
1 1 2
Cartesian
-1.465 -1.344 6.274
0.000 0.000 0.000
-0.963 -0.538 2.721
-1.967 -2.149 9.826


Entry 3:
Na2NdNpSe4 | the Alexandria database | PBE | relaxed; energy relative to the elements, uncorrected = -11.46 eV/f.u.; total magnetization = 0.500 μB per atom; theoretical density = 5646 kg/m3; space group = P2/m
1.0
4.247 0.000 0.000
0.000 7.365 0.118
0.000 -2.581 6.946
Na Nd Np Se
2 1 1 4
Cartesian
2.124 -1.291 3.473
0.000 2.392 3.532
0.000 0.000 0.000
2.124 3.682 0.059
2.124 1.225 1.672
2.124 3.559 5.392
0.000 -0.062 5.367
0.000 4.846 1.696


Entry 4:
Se2S6O | the Alexandria database | PBE | relaxed; energy relative to the elements, uncorrected = 0.09 eV/f.u.; total magnetization = 0.000 μB per atom; theoretical density = 2107 kg/m3; space group = P1
1.0
-8.215 -0.233 -3.685
10.585 0.628 -1.785
3.772 -5.263 1.507
Se S O
2 6 1
Cartesian
0.410 -2.446 -1.348
6.125 -2.315 -2.652
1.835 -3.059 0.349
-1.060 0.003 -4.516
-1.950 -1.390 -3.155
5.732 -0.176 -2.242
2.533 -1.469 -4.591
6.656 -2.883 -0.425
2.886 -0.080 -4.249


Entry 5:
MgW2Cl | the Alexandria database | PBE | relaxed; energy relative to the elements, uncorrected = 3.75 eV/f.u.; total magnetization = 0.000 μB per atom; theoretical density = 10499 kg/m3; relative energy among the computed polymorphs = 794 meV per atom; space group = P4/mmm
1.0
2.769 0.000 0.000
0.000 2.769 0.000
0.000 0.000 8.817
Cl Mg W
1 1 2
Cartesian
1.385 1.385 2.204
1.385 1.385 6.613
0.000 0.000 0.058
0.000 0.000 4.351


Entry 6:
Zr2WAu | the Alexandria database | PBE | relaxed; total magnetization = 0.000 μB per atom; theoretical density = 12010 kg/m3; relative energy among the computed polymorphs = 371 meV per atom; space group = P4mm
1.0
2.895 0.000 0.000
0.000 2.895 0.000
0.000 0.000 9.295
Au W Zr
1 1 2
Cartesian
0.000 0.000 4.774
1.447 1.447 6.824
0.000 0.000 9.136
1.447 1.447 2.502


Entry 7:
LaCrGa2Co | the Alexandria database | PBE | relaxed; total magnetization = 0.608 μB per atom; DFT total energy = -24.74 eV/cell; theoretical density = 5772 kg/m3; space group = P4/mmm
1.0
4.751 0.000 0.000
0.000 4.961 0.000
0.000 0.000 4.751
Cr Co Ga La
1 1 2 1
Cartesian
0.000 0.000 0.000
2.376 2.480 2.376
0.000 0.000 2.376
2.376 0.000 0.000
0.000 2.480 0.000


Entry 8:
BaLaAg2Te4 | the Alexandria database | PBE | relaxed; energy relative to the elements, uncorrected = -6.85 eV/f.u.; total magnetization = 0.000 μB per atom; theoretical density = 5965 kg/m3; space group = I222
1.0
-0.969 -7.816 -0.973
1.902 -3.527 -5.921
5.143 -4.817 1.210
Ba La Ag Te
1 1 2 4
Cartesian
0.000 0.000 0.000
3.038 -8.080 -2.842
1.513 -4.040 -1.418
4.562 -12.120 -4.266
2.202 -6.477 -0.162
4.315 -6.127 -5.079
0.287 -9.446 -3.849
5.348 -10.270 -2.278


Entry 9:
Mg2NF | the Alexandria database | PBE | relaxed; energy relative to the elements, uncorrected = -6.69 eV/f.u.; total magnetization = 0.000 μB per atom; theoretical density = 2699 kg/m3; relative energy among the computed polymorphs = 132 meV per atom; space group = P-6m2
1.0
-1.061 3.543 -0.345
-0.062 -1.645 3.330
3.953 1.251 0.692
Mg N F
2 1 1
Cartesian
-0.299 1.954 1.487
2.011 0.851 3.057
1.678 2.579 1.833
0.034 0.226 2.712


Entry 10:
CdTc3 | the Alexandria database | PBE | relaxed; total magnetization = 0.000 μB per atom; theoretical density = 10687 kg/m3; relative energy among the computed polymorphs = 249 meV per atom; space group = Pm-3n
1.0
-4.658 1.454 1.165
-1.407 -4.802 0.366
1.222 0.013 4.866
Cd Tc
2 6
Cartesian
0.000 0.000 0.000
-2.422 -1.668 3.199
0.259 -1.194 2.525
-0.445 -3.595 2.708
-1.868 -2.038 0.474
-2.024 0.730 1.799
-1.413 0.737 4.232
-4.197 -1.311 1.057


Entry 11:
K2Hg16Pb | the Alexandria database | PBE | relaxed; total magnetization = 0.000 μB per atom; DFT total energy = -12.52 eV/cell; theoretical density = 10481 kg/m3; space group = R3m
1.0
-7.775 1.982 -2.449
-1.107 -4.930 -6.697
-4.554 -6.314 3.126
K Hg Pb
2 16 1
Cartesian
-8.805 -6.069 -3.945
-4.330 -2.984 -1.940
-6.820 -0.528 -0.782
-3.536 -5.905 0.161
-3.131 -2.864 -5.422
-2.164 -5.354 -3.748
-5.785 -0.113 -3.731
-5.538 -3.830 1.436
-5.350 -5.897 -5.685
-8.885 -2.232 -3.433
-7.177 -6.631 -0.476
-7.722 -3.644 -0.961
-5.035 -6.429 -2.673
-6.333 -3.086 -4.919
-12.560 -6.822 -2.896
-9.623 -9.867 -4.767
-11.042 -6.213 -7.223
-1.475 -1.017 -0.661
-12.324 -8.495 -5.522


Entry 12:
Th3Zr12In5 | the Alexandria database | PBE | relaxed; total magnetization = 0.000 μB per atom; DFT total energy = -487.49 eV/cell; theoretical density = 6130 kg/m3; space group = Ia-3d
1.0
14.931 0.000 0.000
-4.977 14.077 0.000
-4.977 -7.039 12.191
Th In Zr
12 20 48
Cartesian
8.710 4.399 1.524
8.710 9.678 1.524
-1.244 6.159 7.619
1.244 -0.880 4.572
11.198 0.000 3.048
1.244 7.039 3.048
3.733 0.000 9.143
-6.221 7.039 9.143
3.733 7.918 7.619
6.221 0.880 4.572
-3.733 -2.639 10.667
-3.733 2.639 10.667
-1.244 3.519 3.048
-2.488 7.039 0.000
0.000 0.000 0.000
3.733 2.639 1.524
4.977 -3.519 6.096
4.977 7.039 0.000
-3.733 7.918 4.572
6.221 -4.399 10.667
6.221 6.159 4.572
1.244 -3.519 9.143
3.733 10.558 3.048
2.488 3.519 6.096
7.465 0.000 0.000
-2.488 -3.519 6.096
-1.244 0.880 7.619
-1.244 11.438 1.524
-4.977 3.519 6.096
8.710 -0.880 7.619
1.244 4.399 10.667
6.221 3.519 9.143
9.745 1.539 0.851
0.209 5.026 5.189
10.744 3.066 3.365
6.675 2.138 1.758
1.798 5.587 7.975
10.262 7.000 1.880
-0.790 7.966 5.123
-4.187 11.939 1.758
0.691 8.490 7.975
7.157 7.077 1.880
7.674 3.551 4.337
7.674 12.538 0.851
-4.286 6.181 6.947
2.797 5.430 0.973
-5.186 10.526 4.337
2.697 -2.013 7.003
-0.691 0.594 2.731
2.797 8.686 0.907
6.675 11.011 3.365
-0.308 5.392 0.907
-3.179 7.632 9.460
3.279 6.111 5.123
6.775 7.896 6.947
5.285 -1.609 11.218
1.698 0.927 7.068
-1.798 -0.857 5.244
-0.308 8.647 0.973
-1.698 -3.973 8.827
8.156 -0.594 2.731
5.285 1.647 11.284
2.180 -1.647 11.284
2.280 9.051 5.189
5.668 6.445 9.460
10.163 -3.487 7.854
9.263 0.857 5.244
-2.697 -5.500 11.340
2.180 1.609 11.218
4.286 -1.451 4.216
-2.180 -0.038 10.311
-2.697 3.487 7.854
9.164 -4.900 10.433
5.767 -0.927 7.068
-1.698 4.900 10.433
-5.285 0.038 10.311
3.179 1.451 4.216
-5.767 3.973 8.827
4.768 2.013 7.003
-4.768 5.500 11.340


Entry 13:
DyPO4F | the Alexandria database | PBE | relaxed; energy relative to the elements, uncorrected = -19.12 eV/f.u.; total magnetization = 0.147 μB per atom; theoretical density = 4558 kg/m3; space group = C2/m
1.0
-0.480 5.155 2.573
2.212 -0.757 5.288
5.985 2.461 -0.576
Dy P O F
2 2 8 2
Cartesian
5.662 3.086 1.107
2.055 3.772 6.178
5.479 4.629 4.649
2.239 2.230 2.637
3.560 2.505 1.925
4.158 4.354 5.360
1.959 0.707 2.766
2.278 2.885 4.026
6.693 4.100 5.461
1.024 2.759 1.824
5.440 3.973 3.259
5.759 6.152 4.519
1.136 0.523 0.013
6.581 6.335 7.272


Entry 14:
NaIn2AuC | the Alexandria database | PBE | relaxed; total magnetization = 0.414 μB per atom; DFT total energy = -11.77 eV/cell; theoretical density = 5589 kg/m3; space group = P4/mmm
1.0
5.637 0.000 0.000
0.000 5.637 0.000
0.000 0.000 4.316
Na C Au In
1 1 1 2
Cartesian
0.000 0.000 0.000
0.000 0.000 2.158
2.819 2.819 2.158
0.000 2.819 0.000
2.819 0.000 0.000


Entry 15:
Ca2ZrBr | the Alexandria database | PBE | relaxed; energy relative to the elements, uncorrected = -1.90 eV/f.u.; total magnetization = 0.039 μB per atom; theoretical density = 3628 kg/m3; relative energy among the computed polymorphs = 0 meV per atom; space group = R-3m
1.0
-7.335 -3.871 -5.892
-4.373 -5.070 -7.660
-5.678 -6.940 -4.806
Ca Br Zr
2 1 1
Cartesian
-0.110 -0.100 -0.116
-8.584 -7.840 -9.063
-13.040 -11.910 -13.769
-4.347 -3.970 -4.590


Entry 16:
Ac4P3Rh12Pb | the Alexandria database | PBE | relaxed; total magnetization = 0.000 μB per atom; DFT total energy = -134.56 eV/cell; theoretical density = 9916 kg/m3; space group = Im-3m
1.0
-2.375 -1.217 7.648
-5.616 -2.900 -5.066
7.026 -3.820 -1.286
Ac P Rh Pb
4 3 12 1
Cartesian
-0.483 -3.969 0.648
3.513 -1.910 -0.643
-1.188 -0.609 3.824
-2.808 -1.450 -2.533
2.325 -2.519 3.181
-3.996 -2.059 1.291
0.705 -3.360 -3.176
1.868 -4.619 -1.585
3.381 -3.661 4.624
1.270 -1.376 1.738
-2.833 -3.318 2.882
-5.809 -2.993 1.877
-2.183 -1.125 0.705
0.328 -3.548 3.827
-1.293 -4.389 -2.530
2.678 -4.199 1.593
1.025 -4.884 -4.616
-3.643 -3.739 -0.297
0.385 -1.835 -1.735
0.000 0.000 0.000


Entry 17:
RbPO3 | the Alexandria database | PBE | relaxed; energy relative to the elements, uncorrected = 8.07 eV/f.u.; total magnetization = 0.000 μB per atom; theoretical density = 3493 kg/m3; space group = Pm-3m
1.0
4.276 0.000 0.000
0.000 4.276 0.000
0.000 0.000 4.276
P O Rb
1 3 1
Cartesian
2.138 2.138 2.138
0.000 2.138 0.000
0.000 0.000 2.138
2.138 0.000 0.000
0.000 0.000 0.000


Entry 18:
TlCo2Pb | the Alexandria database | PBE | relaxed; total magnetization = 0.798 μB per atom; DFT total energy = -18.83 eV/cell; theoretical density = 10960 kg/m3; space group = P4mm
1.0
-2.161 -1.665 -1.586
1.971 -2.462 -0.102
-3.022 -2.710 6.960
Co Pb Tl
2 1 1
Cartesian
-0.204 -0.183 0.470
-0.656 -2.566 0.448
-1.294 -1.160 2.980
-2.569 -4.281 4.853


Entry 19:
CaPaPdO6 | the Alexandria database | PBE | relaxed; energy relative to the elements, uncorrected = -18.53 eV/f.u.; total magnetization = 0.022 μB per atom; theoretical density = 6422 kg/m3; space group = P312
1.0
-4.200 -0.443 2.276
-0.020 -5.321 -1.073
2.283 1.839 4.569
Ca Pa Pd O
1 1 1 6
Cartesian
-1.353 -3.156 1.946
1.515 -0.548 2.688
-2.100 -0.222 1.138
-1.517 -2.663 4.185
-0.894 -0.096 5.834
-2.392 0.128 3.113
-0.365 -1.092 1.722
1.131 -1.953 4.315
0.529 1.058 3.790


Entry 20:
SrScGa2Pt5 | the Alexandria database | PBE | relaxed; total magnetization = 0.000 μB per atom; DFT total energy = -50.78 eV/cell; theoretical density = 10776 kg/m3; space group = P4/mmm
1.0
-3.992 0.087 -0.770
-0.513 -3.325 2.284
-1.658 6.688 9.361
Sr Sc Ga Pt
1 1 2 5
Cartesian
-0.829 3.344 4.681
0.000 0.000 0.000
-2.732 0.316 3.466
-3.431 3.134 7.410
-0.522 -0.591 2.642
-2.262 1.115 1.115
-1.649 3.954 9.004
-3.389 5.660 7.477
-3.082 1.725 5.438